# Tl2FePO4, optimized geometry, DFT PBE+U
# Calculated volume, Å³/cell: 1259
# Total magnetization, μB per atom: 0.455
# Calculated total energy, eV per atom: -5.82
data_Tl2FePO4
_chemical_formula_sum 'Tl16 Fe8 P8 O32'
_symmetry_space_group_name_H-M 'F d d d'
_symmetry_Int_Tables_number 70
_cell_length_a 5.299
_cell_length_b 11.268
_cell_length_c 21.081
_cell_angle_alpha 90.00
_cell_angle_beta 90.00
_cell_angle_gamma 90.00
loop_
_symmetry_equiv_pos_as_xyz
'x,y,z'
'-x,-y,-z'
'-x+1/4,-y+1/4,z'
'x+1/4,y+1/4,-z'
'x,-y+1/4,-z+1/4'
'-x,y+1/4,z+1/4'
'-x+1/4,y,-z+1/4'
'x+1/4,-y,z+1/4'
'x,y+1/2,z+1/2'
'-x,-y+1/2,-z+1/2'
'-x+1/4,-y+3/4,z+1/2'
'x+1/4,y+3/4,-z+1/2'
'x,-y+3/4,-z+3/4'
'-x,y+3/4,z+3/4'
'-x+1/4,y+1/2,-z+3/4'
'x+1/4,-y+1/2,z+3/4'
'x+1/2,y,z+1/2'
'-x+1/2,-y,-z+1/2'
'-x+3/4,-y+1/4,z+1/2'
'x+3/4,y+1/4,-z+1/2'
'x+1/2,-y+1/4,-z+3/4'
'-x+1/2,y+1/4,z+3/4'
'-x+3/4,y,-z+3/4'
'x+3/4,-y,z+3/4'
'x+1/2,y+1/2,z'
'-x+1/2,-y+1/2,-z'
'-x+3/4,-y+3/4,z'
'x+3/4,y+3/4,-z'
'x+1/2,-y+3/4,-z+1/4'
'-x+1/2,y+3/4,z+1/4'
'-x+3/4,y+1/2,-z+1/4'
'x+3/4,-y+1/2,z+1/4'
loop_
_atom_site_label
_atom_site_type_symbol
_atom_site_fract_x
_atom_site_fract_y
_atom_site_fract_z
Tl1 Tl 0.125 0.125 0.280
Fe1 Fe 0.125 0.125 0.125
P1 P 0.125 0.125 0.625
O1 O 0.057 0.297 0.834